A crystal of CdCSeN2 relaxed with PBEsol, computed with SCAN.

Cell: 3.676 3.676 4.431 Å, 90.00 90.00 90.00°
Fractional coordinates of all 5 atoms:
Cd 0.000 0.000 0.000
C 0.500 0.500 0.500
Se 0.500 0.500 0.000
N 0.000 0.500 0.500
N 0.500 0.000 0.500

Its symmetry is P4/mmm, No. 123. As for the size of the total moment: 2.9 μB/f.u. As for the volume: 11.98 Å³/atom. As for the formation energy without anion corrections: 2.152 eV per atom.